Crystalline CaHg2Rh2 at its relaxed geometry. Source: the Alexandria database, functional PBE-GGA.

Output
- ΔE to the lowest computed polymorph (meV per atom) = 73.3
- calculated density (Mg/m³) = 10.82
- ΔE_f (eV per atom) = -0.09
- total magnetic moment (μB per cell) = 0.000

```
data_CaHg2Rh2
_chemical_formula_sum 'Ca2 Hg4 Rh4'
_cell_length_a 7.8268
_cell_length_b 7.8268
_cell_length_c 3.2414
_cell_angle_alpha 90.00
_cell_angle_beta 90.00
_cell_angle_gamma 90.00
_symmetry_space_group_name_H-M 'P 1'
_symmetry_Int_Tables_number 1
loop_
_symmetry_equiv_pos_as_xyz
'x,y,z'
loop_
_atom_site_label
_atom_site_type_symbol
_atom_site_fract_x
_atom_site_fract_y
_atom_site_fract_z
Ca1 Ca 0.0000 0.0000 0.0000
Ca2 Ca 0.5000 0.5000 0.0000
Rh1 Rh 0.1568 0.6568 0.5000
Rh2 Rh 0.6568 0.8432 0.5000
Rh3 Rh 0.8432 0.3432 0.5000
Rh4 Rh 0.3432 0.1568 0.5000
Hg1 Hg 0.3596 0.8596 0.0000
Hg2 Hg 0.8596 0.6404 0.0000
Hg3 Hg 0.6404 0.1404 0.0000
Hg4 Hg 0.1404 0.3596 0.0000
```

Crystalline Ca4Hg5Rh2 at its relaxed geometry. Source: the Alexandria database, functional PBE-GGA.

Output
- calculated density (Mg/m³) = 8.12
- ΔE_f (eV per atom) = -0.44
- total magnetic moment (μB per cell) = 0.000

```
data_Ca4Hg5Rh2
_chemical_formula_sum 'Ca4 Hg5 Rh2'
_cell_length_a 4.0257
_cell_length_b 7.4507
_cell_length_c 9.3746
_cell_angle_alpha 95.50
_cell_angle_beta 90.00
_cell_angle_gamma 90.00
_symmetry_space_group_name_H-M 'P 1'
_symmetry_Int_Tables_number 1
loop_
_symmetry_equiv_pos_as_xyz
'x,y,z'
loop_
_atom_site_label
_atom_site_type_symbol
_atom_site_fract_x
_atom_site_fract_y
_atom_site_fract_z
Ca1 Ca 0.5000 0.2180 0.4346
Ca2 Ca 0.5000 0.8109 0.1519
Ca3 Ca 0.5000 0.7820 0.5654
Ca4 Ca 0.5000 0.1891 0.8481
Hg1 Hg 0.0000 0.4468 0.6634
Hg2 Hg 0.0000 0.8380 0.8525
Hg3 Hg 0.0000 0.5000 0.0000
Hg4 Hg 0.0000 0.1620 0.1475
Hg5 Hg 0.0000 0.5532 0.3366
Rh1 Rh 0.0000 0.9308 0.3625
Rh2 Rh 0.0000 0.0692 0.6375
```

Crystalline Ca8Hg2Rh at its relaxed geometry. Source: the Alexandria database, functional PBE-GGA.

Output
- ΔE to the lowest computed polymorph (meV per atom) = 0.0
- calculated density (Mg/m³) = 3.99
- ΔE_f (eV per atom) = -0.30
- total magnetic moment (μB per cell) = 0.000

```
data_Ca8Hg2Rh
_chemical_formula_sum 'Ca8 Hg2 Rh1'
_cell_length_a 5.4165
_cell_length_b 7.1651
_cell_length_c 9.6952
_cell_angle_alpha 107.53
_cell_angle_beta 106.22
_cell_angle_gamma 90.00
_symmetry_space_group_name_H-M 'P 1'
_symmetry_Int_Tables_number 1
loop_
_symmetry_equiv_pos_as_xyz
'x,y,z'
loop_
_atom_site_label
_atom_site_type_symbol
_atom_site_fract_x
_atom_site_fract_y
_atom_site_fract_z
Ca1 Ca 0.4091 0.5834 0.8183
Ca2 Ca 0.6522 0.9575 0.3044
Ca3 Ca 0.7927 0.6990 0.5854
Ca4 Ca 0.9744 0.2020 0.9487
Ca5 Ca 0.2073 0.3010 0.4146
Ca6 Ca 0.3478 0.0425 0.6956
Ca7 Ca 0.5909 0.4166 0.1817
Ca8 Ca 0.0256 0.7980 0.0513
Hg1 Hg 0.8170 0.2865 0.6339
Hg2 Hg 0.1830 0.7135 0.3661
Rh1 Rh 0.5000 0.0000 0.0000
```

Crystalline Ca6Hg5Rh at its relaxed geometry. Source: the Alexandria database, functional PBE-GGA.

Output
- calculated density (Mg/m³) = 7.19
- ΔE_f (eV per atom) = -0.50
- total magnetic moment (μB per cell) = 0.000

```
data_Ca6Hg5Rh
_chemical_formula_sum 'Ca6 Hg5 Rh1'
_cell_length_a 5.2725
_cell_length_b 7.4912
_cell_length_c 9.1306
_cell_angle_alpha 65.78
_cell_angle_beta 72.74
_cell_angle_gamma 90.00
_symmetry_space_group_name_H-M 'P 1'
_symmetry_Int_Tables_number 1
loop_
_symmetry_equiv_pos_as_xyz
'x,y,z'
loop_
_atom_site_label
_atom_site_type_symbol
_atom_site_fract_x
_atom_site_fract_y
_atom_site_fract_z
Ca1 Ca 0.8407 0.6010 0.3176
Ca2 Ca 0.8407 0.0814 0.3176
Ca3 Ca 0.5000 0.7673 0.0000
Ca4 Ca 0.5000 0.2327 0.0000
Ca5 Ca 0.1593 0.9186 0.6824
Ca6 Ca 0.1593 0.3990 0.6824
Rh1 Rh 0.0000 0.0000 0.0000
Hg1 Hg 0.6720 0.1718 0.6564
Hg2 Hg 0.3345 0.3350 0.3300
Hg3 Hg 0.0000 0.5000 0.0000
Hg4 Hg 0.6655 0.6650 0.6700
Hg5 Hg 0.3280 0.8282 0.3436
```

Crystalline CaHg2RuRh at its relaxed geometry. Source: the Alexandria database, functional PBE-GGA.

Output
- calculated density (Mg/m³) = 8.06
- ΔE_f (eV per atom) = 0.88
- total magnetic moment (μB per cell) = 1.201

```
data_CaHg2RuRh
_chemical_formula_sum 'Ca1 Hg2 Ru1 Rh1'
_cell_length_a 5.1695
_cell_length_b 4.9759
_cell_length_c 5.1695
_cell_angle_alpha 90.00
_cell_angle_beta 90.00
_cell_angle_gamma 90.00
_symmetry_space_group_name_H-M 'P 1'
_symmetry_Int_Tables_number 1
loop_
_symmetry_equiv_pos_as_xyz
'x,y,z'
loop_
_atom_site_label
_atom_site_type_symbol
_atom_site_fract_x
_atom_site_fract_y
_atom_site_fract_z
Ru1 Ru 0.0000 0.0000 0.0000
Ca1 Ca 0.0000 0.5000 0.0000
Rh1 Rh 0.5000 0.5000 0.5000
Hg1 Hg 0.0000 0.0000 0.5000
Hg2 Hg 0.5000 0.0000 0.0000
```

Crystalline Ca2SiHgRh at its relaxed geometry. Source: the Alexandria database, functional PBE-GGA.

Output
- ΔE to the lowest computed polymorph (meV per atom) = 0.0
- calculated density (Mg/m³) = 4.96
- energy relative to the elements, uncorrected (eV per formula unit) = -2.2
- total magnetic moment (μB per cell) = 0.000

```
data_Ca2SiHgRh
_chemical_formula_sum 'Ca2 Si1 Hg1 Rh1'
_cell_length_a 5.5067
_cell_length_b 5.5067
_cell_length_c 4.5413
_cell_angle_alpha 90.00
_cell_angle_beta 90.00
_cell_angle_gamma 90.00
_symmetry_space_group_name_H-M 'P 1'
_symmetry_Int_Tables_number 1
loop_
_symmetry_equiv_pos_as_xyz
'x,y,z'
loop_
_atom_site_label
_atom_site_type_symbol
_atom_site_fract_x
_atom_site_fract_y
_atom_site_fract_z
Si1 Si 0.0000 0.0000 0.5000
Ca1 Ca 0.0000 0.5000 0.0000
Ca2 Ca 0.5000 0.0000 0.0000
Rh1 Rh 0.0000 0.0000 0.0000
Hg1 Hg 0.5000 0.5000 0.5000
```

Crystalline Ca2SiHgRh at its relaxed geometry. Source: the Alexandria database, functional PBE-GGA.

Output
- ΔE to the lowest computed polymorph (meV per atom) = 819.1
- calculated density (Mg/m³) = 4.65
- energy relative to the elements, uncorrected (eV per formula unit) = 1.9
- total magnetic moment (μB per cell) = 1.002

```
data_Ca2SiHgRh
_chemical_formula_sum 'Ca2 Si1 Hg1 Rh1'
_cell_length_a 5.5574
_cell_length_b 4.7630
_cell_length_c 5.5574
_cell_angle_alpha 90.00
_cell_angle_beta 90.00
_cell_angle_gamma 90.00
_symmetry_space_group_name_H-M 'P 1'
_symmetry_Int_Tables_number 1
loop_
_symmetry_equiv_pos_as_xyz
'x,y,z'
loop_
_atom_site_label
_atom_site_type_symbol
_atom_site_fract_x
_atom_site_fract_y
_atom_site_fract_z
Si1 Si 0.0000 0.0000 0.0000
Ca1 Ca 0.0000 0.0000 0.5000
Ca2 Ca 0.5000 0.0000 0.0000
Rh1 Rh 0.5000 0.5000 0.5000
Hg1 Hg 0.0000 0.5000 0.0000
```

Crystalline Ca2Si2HgRh5 at its relaxed geometry. Source: the Alexandria database, functional PBE-GGA.

Output
- calculated density (Mg/m³) = 8.30
- energy relative to the elements, uncorrected (eV per formula unit) = -6.9
- total magnetic moment (μB per cell) = 0.000

```
data_Ca2Si2HgRh5
_chemical_formula_sum 'Ca4 Si4 Hg2 Rh10'
_cell_length_a 3.3472
_cell_length_b 10.0900
_cell_length_c 10.0900
_cell_angle_alpha 90.00
_cell_angle_beta 90.00
_cell_angle_gamma 90.00
_symmetry_space_group_name_H-M 'P 1'
_symmetry_Int_Tables_number 1
loop_
_symmetry_equiv_pos_as_xyz
'x,y,z'
loop_
_atom_site_label
_atom_site_type_symbol
_atom_site_fract_x
_atom_site_fract_y
_atom_site_fract_z
Ca1 Ca 0.0000 0.6744 0.1744
Ca2 Ca 0.0000 0.3256 0.8256
Ca3 Ca 0.0000 0.1744 0.3256
Ca4 Ca 0.0000 0.8256 0.6744
Si1 Si 0.0000 0.1249 0.6249
Si2 Si 0.0000 0.8751 0.3751
Si3 Si 0.0000 0.6249 0.8751
Si4 Si 0.0000 0.3751 0.1249
Hg1 Hg 0.0000 0.0000 0.0000
Hg2 Hg 0.0000 0.5000 0.5000
Rh1 Rh 0.5000 0.2190 0.0687
Rh2 Rh 0.5000 0.7810 0.9313
Rh3 Rh 0.5000 0.0687 0.7810
Rh4 Rh 0.5000 0.7190 0.4313
Rh5 Rh 0.5000 0.9313 0.2190
Rh6 Rh 0.5000 0.2810 0.5687
Rh7 Rh 0.5000 0.5687 0.7190
Rh8 Rh 0.5000 0.4313 0.2810
Rh9 Rh 0.5000 0.5000 0.0000
Rh10 Rh 0.5000 0.0000 0.5000
```

Crystalline CaSmHgRh at its relaxed geometry. Source: the Alexandria database, functional PBE-GGA.

Output
- ΔE to the lowest computed polymorph (meV per atom) = 74.6
- calculated density (Mg/m³) = 8.64
- ΔE_f (eV per atom) = -0.48
- total magnetic moment (μB per cell) = 0.000

```
data_CaSmHgRh
_chemical_formula_sum 'Ca1 Sm1 Hg1 Rh1'
_cell_length_a 5.1210
_cell_length_b 5.1210
_cell_length_c 5.1210
_cell_angle_alpha 60.00
_cell_angle_beta 60.00
_cell_angle_gamma 60.00
_symmetry_space_group_name_H-M 'P 1'
_symmetry_Int_Tables_number 1
loop_
_symmetry_equiv_pos_as_xyz
'x,y,z'
loop_
_atom_site_label
_atom_site_type_symbol
_atom_site_fract_x
_atom_site_fract_y
_atom_site_fract_z
Ca1 Ca 0.7500 0.7500 0.7500
Rh1 Rh 0.0000 0.0000 0.0000
Hg1 Hg 0.5000 0.5000 0.5000
Sm1 Sm 0.2500 0.2500 0.2500
```

Crystalline CaSmHgRh at its relaxed geometry. Source: the Alexandria database, functional PBE-GGA.

Output
- ΔE to the lowest computed polymorph (meV per atom) = 0.0
- calculated density (Mg/m³) = 8.48
- ΔE_f (eV per atom) = -0.56
- total magnetic moment (μB per cell) = 0.000

```
data_CaSmHgRh
_chemical_formula_sum 'Ca1 Sm1 Hg1 Rh1'
_cell_length_a 3.6204
_cell_length_b 3.6204
_cell_length_c 7.3818
_cell_angle_alpha 90.00
_cell_angle_beta 90.00
_cell_angle_gamma 90.00
_symmetry_space_group_name_H-M 'P 1'
_symmetry_Int_Tables_number 1
loop_
_symmetry_equiv_pos_as_xyz
'x,y,z'
loop_
_atom_site_label
_atom_site_type_symbol
_atom_site_fract_x
_atom_site_fract_y
_atom_site_fract_z
Ca1 Ca 0.5000 0.5000 0.8046
Sm1 Sm 0.5000 0.5000 0.3550
Hg1 Hg 0.0000 0.0000 0.0761
Rh1 Rh 0.0000 0.0000 0.5490
```